# YBe4NiIr2 (PBE, optimized geometry)
data_YBe4NiIr2
_chemical_formula_sum 'Y3 Be12 Ni3 Ir6'
_space_group_name_H-M_alt 'R -3 m'
_space_group_IT_number 166
_space_group_name_Hall '-R 3 2"'
_cell_length_a 3.8630
_cell_length_b 3.8630
_cell_length_c 23.5819
_cell_angle_alpha 90.00
_cell_angle_beta 90.00
_cell_angle_gamma 120.00
loop_
_atom_site_label
_atom_site_type_symbol
_atom_site_fract_x
_atom_site_fract_y
_atom_site_fract_z
_atom_site_occupancy
Y1 Y 0.0000 0.0000 0.0000 1
Be1 Be 0.0000 0.0000 0.1325 1
Be2 Be 0.0000 0.0000 0.4104 1
Ni1 Ni 0.0000 0.0000 0.5000 1
Ir1 Ir 0.0000 0.0000 0.2370 1
# **Calculated volume**: 102 Å³/f.u.
# **Total energy**: -6.169 eV per atom
# **Theoretical density**: 9.3 g/cm3
# **ΔE_f**: -0.560 eV per atom

---

# KBaFe2 (PBE, optimized geometry)
data_KBaFe2
_chemical_formula_sum 'K2 Ba2 Fe4'
_space_group_name_H-M_alt 'I 4/m m m'
_space_group_IT_number 139
_space_group_name_Hall '-I 4 2'
_cell_length_a 4.9988
_cell_length_b 4.9988
_cell_length_c 9.2200
_cell_angle_alpha 90.00
_cell_angle_beta 90.00
_cell_angle_gamma 90.00
loop_
_atom_site_label
_atom_site_type_symbol
_atom_site_fract_x
_atom_site_fract_y
_atom_site_fract_z
_atom_site_occupancy
K1 K 0.0000 0.0000 0.0000 1
Ba1 Ba 0.0000 0.0000 0.5000 1
Fe1 Fe 0.0000 0.5000 0.2500 1
# **E above lowest polymorph**: 561 meV per atom
# **Calculated volume**: 115 Å³/f.u.
# **Total energy**: -3.785 eV per atom
# **Theoretical density**: 4.2 g/cm3
# **ΔE_f**: 1.201 eV per atom

---

# Fe2GeBSe (PBE, optimized geometry)
data_Fe2GeBSe
_chemical_formula_sum 'Fe2 Ge1 B1 Se1'
_space_group_name_H-M_alt 'P 4/m m m'
_space_group_IT_number 123
_space_group_name_Hall '-P 4 2'
_cell_length_a 4.5224
_cell_length_b 4.5224
_cell_length_c 5.0193
_cell_angle_alpha 90.00
_cell_angle_beta 90.00
_cell_angle_gamma 90.00
loop_
_atom_site_label
_atom_site_type_symbol
_atom_site_fract_x
_atom_site_fract_y
_atom_site_fract_z
_atom_site_occupancy
Fe1 Fe 0.0000 0.5000 0.0000 1
Ge1 Ge 0.0000 0.0000 0.0000 1
B1 B 0.5000 0.5000 0.5000 1
Se1 Se 0.0000 0.0000 0.5000 1
# **Calculated volume**: 103 Å³/f.u.
# **Total energy**: -4.632 eV per atom
# **Theoretical density**: 4.4 g/cm3
# **Formation energy from raw total energies**: 1.71 eV/atom

---

# ErMgTl2 (PBE, optimized geometry)
data_ErMgTl2
_chemical_formula_sum 'Er3 Mg3 Tl6'
_space_group_name_H-M_alt 'R 3 m'
_space_group_IT_number 160
_space_group_name_Hall 'R 3 -2"'
_cell_length_a 3.7061
_cell_length_b 3.7061
_cell_length_c 27.1937
_cell_angle_alpha 90.00
_cell_angle_beta 90.00
_cell_angle_gamma 120.00
loop_
_atom_site_label
_atom_site_type_symbol
_atom_site_fract_x
_atom_site_fract_y
_atom_site_fract_z
_atom_site_occupancy
Er1 Er 0.0000 0.0000 0.0000 1
Mg1 Mg 0.0000 0.0000 0.8338 1
Tl1 Tl 0.0000 0.0000 0.4217 1
Tl2 Tl 0.0000 0.0000 0.5794 1
# **Calculated volume**: 108 Å³/f.u.
# **Total energy**: -2.794 eV per atom
# **Theoretical density**: 9.2 g/cm3
# **ΔE_f**: -0.071 eV per atom